A plane-wave DFT calculation with PBE-GGA was carried out for a geometry-optimized TaTlRh2 structure.

abc: 9.6130 3.2967 4.5527
angles: 90.00 105.93 90.00
Space group Cm (No. 8)
Symmetry-distinct sites (fractional):
Ta1 0.0000 0.0000 0.0000 [2 per cell]
Tl1 0.2544 0.5000 0.3620 [2 per cell]
Rh1 0.0019 0.5000 0.5357 [2 per cell]
Rh2 0.2786 0.0000 0.8835 [2 per cell]

Values from the calculation:
E_form: -2.0 kcal/mol of atoms

---

A plane-wave DFT calculation with PBE-GGA was carried out for a geometry-optimized TaTlRh2 structure.

abc: 3.2220 3.2220 24.7248
angles: 90.00 90.00 120.00
Space group R-3m (No. 166, hexagonal axes)
Symmetry-distinct sites (fractional):
Ta1 0.0000 0.0000 0.0000 [3 per cell]
Tl1 0.0000 0.0000 0.5000 [3 per cell]
Rh1 0.0000 0.0000 0.2596 [6 per cell]

Values from the calculation:
E_form: -2.2 kcal/mol of atoms

---

A plane-wave DFT calculation with PBE-GGA was carried out for a geometry-optimized TaTlRh2 structure.

abc: 7.2658 7.2658 5.8308
angles: 90.00 90.00 90.00
Space group I-42d (No. 122)
Symmetry-distinct sites (fractional):
Ta1 0.0000 0.0000 0.0000 [4 per cell]
Tl1 0.0000 0.0000 0.5000 [4 per cell]
Rh1 0.2094 0.7500 0.1250 [8 per cell]

Values from the calculation:
E_form: 4.1 kcal/mol of atoms